Entry 1:
4
Lattice="-3.188 2.758 6.163 -3.291 -0.254 6.697 2.966 0.032 0.756" Properties=species:S:1:pos:R:3 comment="Mn2IrBr PBE optimized geometry" e_tot_ev_per_atom=-6.94 magmom_total_mub_per_atom=1.554 formation_energy_uncorrected_ev_per_atom=0.283 pbc="T T T"
Br -1.911 1.381 7.411
Ir -2.537 1.831 9.826
Mn -3.242 2.342 12.570
Mn -1.092 0.789 4.233

=====

Entry 2:
3
Lattice="6.035 -0.237 0.000 4.642 3.864 0.000 -5.338 -1.814 2.166" Properties=species:S:1:pos:R:3 comment="MnIrBr PBE optimized geometry" e_tot_ev_per_atom=-6.09 magmom_total_mub_per_atom=1.237 formation_energy_uncorrected_ev_per_atom=0.482 pbc="T T T"
Br 0.071 0.024 0.000
Ir 3.300 1.121 0.000
Mn 7.306 2.482 0.000

=====

Entry 3:
4
Lattice="5.387 0.615 0.000 2.219 4.947 0.000 -3.803 -2.781 2.683" Properties=species:S:1:pos:R:3 comment="Mn2IrBr PBE optimized geometry" e_tot_ev_per_atom=-6.59 magmom_total_mub_per_atom=2.261 formation_energy_uncorrected_ev_per_atom=0.632 pbc="T T T"
Br 3.803 2.781 0.000
Ir 2.694 0.308 1.342
Mn 0.000 0.000 0.000
Mn 1.110 2.473 1.342

=====

Entry 4:
3
Lattice="-2.333 -3.613 -0.709 -0.276 -1.662 -4.020 2.017 -3.745 -0.953" Properties=species:S:1:pos:R:3 comment="MnIrBr PBE optimized geometry" e_tot_ev_per_atom=-5.86 magmom_total_mub_per_atom=1.417 formation_energy_uncorrected_ev_per_atom=0.710 pbc="T T T"
Br -0.296 -4.510 -2.841
Ir -0.148 -2.255 -1.420
Mn 0.000 0.000 0.000

=====

Entry 5:
4
Lattice="5.404 -0.016 0.007 -2.548 4.765 0.007 0.801 1.331 2.522" Properties=species:S:1:pos:R:3 comment="MnIr2Br PBE optimized geometry" e_tot_ev_per_atom=-6.47 magmom_total_mub_per_atom=1.113 formation_energy_uncorrected_ev_per_atom=0.668 pbc="T T T"
Br -0.874 3.048 1.264
Ir 0.000 0.000 0.000
Ir 1.428 2.375 0.007
Mn 3.102 0.658 1.264

=====

Entry 6:
4
Lattice="2.864 0.000 0.000 0.000 3.768 0.000 0.000 0.000 7.525" Properties=species:S:1:pos:R:3 comment="MnIr2Br PBE optimized geometry" e_tot_ev_per_atom=-6.69 magmom_total_mub_per_atom=1.126 formation_energy_uncorrected_ev_per_atom=0.450 pbc="T T T"
Br 1.432 1.884 5.194
Ir 0.000 0.000 0.853
Ir 1.432 1.884 1.777
Mn 0.000 0.000 3.464

=====

Entry 7:
4
Lattice="-3.278 -2.276 2.247 -2.138 -3.516 -2.011 0.763 -4.277 1.450" Properties=species:S:1:pos:R:3 comment="Mn2IrBr PBE optimized geometry" e_tot_ev_per_atom=-6.41 magmom_total_mub_per_atom=2.322 formation_energy_uncorrected_ev_per_atom=0.813 pbc="T T T"
Br -2.326 -5.034 0.843
Ir -3.489 -7.551 1.265
Mn 0.000 0.000 0.000
Mn -1.163 -2.517 0.422

=====

Entry 8:
4
Lattice="-0.432 -3.413 1.105 2.185 0.362 1.970 -4.573 2.098 4.690" Properties=species:S:1:pos:R:3 comment="MnIr2Br PBE optimized geometry" e_tot_ev_per_atom=-6.75 magmom_total_mub_per_atom=1.043 formation_energy_uncorrected_ev_per_atom=0.389 pbc="T T T"
Br -1.968 0.121 5.510
Ir 1.299 0.427 1.826
Ir -0.735 -1.128 2.136
Mn -0.427 1.218 3.594

=====

Entry 9:
4
Lattice="7.639 0.095 -0.007 6.097 4.604 0.007 -6.887 -2.294 2.382" Properties=species:S:1:pos:R:3 comment="Mn2IrBr PBE optimized geometry" e_tot_ev_per_atom=-6.73 magmom_total_mub_per_atom=1.334 formation_energy_uncorrected_ev_per_atom=0.491 pbc="T T T"
Br 6.605 2.260 0.000
Ir 2.610 2.183 1.194
Mn 1.081 0.370 0.000
Mn 3.420 -0.058 1.188

=====

Entry 10:
4
Lattice="0.000 3.026 3.026 3.026 0.000 3.026 3.026 3.026 0.000" Properties=species:S:1:pos:R:3 comment="Mn2IrBr PBE optimized geometry" e_tot_ev_per_atom=-6.22 magmom_total_mub_per_atom=0.000 formation_energy_uncorrected_ev_per_atom=0.995 pbc="T T T"
Mn 1.513 1.513 1.513
Mn 4.540 4.540 4.540
Ir 3.026 3.026 3.026
Br 0.000 0.000 0.000

=====

Entry 11:
4
Lattice="-1.851 -5.111 0.151 0.582 -3.159 -4.388 2.284 2.934 3.968" Properties=species:S:1:pos:R:3 comment="MnIr2Br PBE optimized geometry" e_tot_ev_per_atom=-6.39 magmom_total_mub_per_atom=0.997 formation_energy_uncorrected_ev_per_atom=0.753 pbc="T T T"
Br -0.111 -3.220 0.967
Ir -1.267 -8.252 -4.227
Ir 1.124 -2.123 -1.240
Mn -0.636 -4.144 -2.123

=====

Entry 12:
8
Lattice="6.969 -0.925 -0.874 -2.993 6.361 -0.874 0.702 0.959 6.189" Properties=species:S:1:pos:R:3 comment="MnIrBr6 PBE optimized geometry" e_tot_ev_per_atom=-3.96 magmom_total_mub_per_atom=0.500 formation_energy_uncorrected_ev_per_atom=-0.453 pbc="T T T"
Mn 0.351 0.480 3.094
Ir 0.000 0.000 0.000
Br 2.141 0.003 1.306
Br -0.647 2.041 1.306
Br 5.324 4.355 3.135
Br 2.536 6.394 3.135
Br 1.686 2.305 4.316
Br 2.992 4.091 0.125

=====

Entry 13:
4
Lattice="-1.954 8.818 -2.056 -2.783 8.806 0.708 -0.015 9.263 0.034" Properties=species:S:1:pos:R:3 comment="MnIr2Br PBE optimized geometry" e_tot_ev_per_atom=-6.69 magmom_total_mub_per_atom=0.756 formation_energy_uncorrected_ev_per_atom=0.452 pbc="T T T"
Br -3.564 20.165 -0.986
Ir -4.686 26.514 -1.296
Ir -2.442 13.816 -0.675
Mn -1.188 6.722 -0.329

=====

Entry 14:
4
Lattice="-2.969 -1.256 1.896 2.218 -3.215 1.342 1.179 2.190 3.297" Properties=species:S:1:pos:R:3 comment="MnIr2Br PBE optimized geometry" e_tot_ev_per_atom=-6.25 magmom_total_mub_per_atom=1.102 formation_energy_uncorrected_ev_per_atom=0.887 pbc="T T T"
Br -0.895 0.467 2.597
Ir 0.000 0.000 0.000
Ir 1.699 -0.513 2.320
Mn -0.375 -2.236 1.619

=====

Entry 15:
4
Lattice="3.033 0.000 0.000 0.000 3.033 0.000 0.000 0.000 7.058" Properties=species:S:1:pos:R:3 comment="MnIr2Br PBE optimized geometry" e_tot_ev_per_atom=-6.64 magmom_total_mub_per_atom=0.679 formation_energy_uncorrected_ev_per_atom=0.502 pbc="T T T"
Br 1.516 1.516 5.293
Ir 0.000 0.000 0.367
Ir 0.000 0.000 3.162
Mn 1.516 1.516 1.764

=====

Entry 16:
4
Lattice="-0.862 2.941 0.051 -3.632 -1.113 2.853 2.573 0.693 3.545" Properties=species:S:1:pos:R:3 comment="Mn2IrBr PBE optimized geometry" e_tot_ev_per_atom=-6.53 magmom_total_mub_per_atom=1.980 formation_energy_uncorrected_ev_per_atom=0.689 pbc="T T T"
Br 0.856 1.817 1.798
Ir -0.530 -0.210 3.199
Mn 0.000 0.000 0.000
Mn -2.247 0.914 1.452

=====

Entry 17:
4
Lattice="-1.843 -2.313 -3.378 3.528 0.994 -2.593 0.632 -1.973 3.983" Properties=species:S:1:pos:R:3 comment="MnIr2Br PBE optimized geometry" e_tot_ev_per_atom=-6.29 magmom_total_mub_per_atom=0.582 formation_energy_uncorrected_ev_per_atom=0.855 pbc="T T T"
Br -0.184 -2.473 -1.190
Ir 0.000 0.000 0.000
Ir 2.501 -0.820 -0.798
Mn 0.842 -0.660 -2.986

=====

Entry 18:
4
Lattice="-4.378 1.510 -0.717 0.057 -4.221 -2.035 -0.844 -1.238 2.544" Properties=species:S:1:pos:R:3 comment="MnIr2Br PBE optimized geometry" e_tot_ev_per_atom=-6.34 magmom_total_mub_per_atom=1.046 formation_energy_uncorrected_ev_per_atom=0.804 pbc="T T T"
Br -0.393 -2.729 0.254
Ir 0.000 0.000 0.000
Ir -2.160 -1.355 -1.376
Mn -2.611 0.136 0.913

=====

Entry 19:
4
Lattice="5.089 -0.125 0.057 4.315 2.702 0.057 0.596 0.163 4.589" Properties=species:S:1:pos:R:3 comment="MnIr2Br PBE optimized geometry" e_tot_ev_per_atom=-6.61 magmom_total_mub_per_atom=1.092 formation_energy_uncorrected_ev_per_atom=0.528 pbc="T T T"
Br 2.500 0.685 1.176
Ir 0.859 0.235 4.462
Ir 4.736 1.298 2.480
Mn 7.500 2.055 3.528

=====

Entry 20:
8
Lattice="-4.673 1.452 -3.522 -3.791 -1.222 4.526 -3.952 4.378 1.888" Properties=species:S:1:pos:R:3 comment="MnIr2Br PBE optimized geometry" e_tot_ev_per_atom=-6.13 magmom_total_mub_per_atom=0.000 formation_energy_uncorrected_ev_per_atom=1.010 pbc="T T T"
Mn -4.232 0.115 0.502
Mn -5.988 1.635 3.458
Ir -4.172 1.784 -1.005
Ir -4.152 0.577 2.702
Ir -6.308 3.315 1.995
Ir -10.200 3.540 2.090
Br 0.000 0.000 0.000
Br -6.428 2.973 -0.566